A relaxed PrEr2ScTl4 crystal. Source: Alexandria via LeMat-Bulk, functional PBE. Values from VASP.

Values from the calculation:
* ΔE_f: -0.30 eV/atom
* calculated density: 10.28 Mg/m³
* magnetization: 0.00 μB per formula unit

Quantum ESPRESSO input file:
```
&SYSTEM
  ibrav = 0, nat = 8, ntyp = 4
/
ATOMIC_SPECIES
Tl 204.38 Tl.upf
Sc 44.96 Sc.upf
Er 167.26 Er.upf
Pr 140.91 Pr.upf
CELL_PARAMETERS angstrom
-4.2625 0.8312 3.0883
-3.5758 -3.8870 0.7083
1.8855 -3.8848 8.2455
ATOMIC_POSITIONS angstrom
Tl 0.1555 -2.7825 5.5611
Tl -4.6102 -2.4292 3.4858
Tl -6.1084 -4.1580 6.4809
Sc -2.9764 -3.4703 6.0210
Er -4.4863 -5.1916 8.9980
Tl -1.3426 -4.5113 8.5563
Pr 0.0000 0.0000 0.0000
Er -1.4666 -1.7489 3.0441
```